## AlCuAs (PBE)

Data for a relaxed structure of AlCuAs.

a b c (Å): 3.903 3.903 6.266
angles (deg): 90.00 90.00 90.00
Sites, in units of the cell vectors:
As (0.500, 0.000, 0.839)
Al (0.000, 0.000, 0.500)
As (0.000, 0.500, 0.161)
Cu (0.500, 0.000, 0.235)
Al (0.500, 0.500, 0.500)
Cu (0.000, 0.500, 0.765)

Properties
Relative energy among the computed polymorphs = 2.07 kcal/mol of atoms
Space-group type = No. 129
Energy relative to the elements = 29 meV per atom
DFT total energy = -24.80 eV per cell
Crystal system = tetragonal

## Pm2ScCdO6 (PBE)

Data for a relaxed structure of Pm2ScCdO6.

a b c (Å): 5.606 5.906 8.411
angles (deg): 90.00 91.45 90.00
Sites, in units of the cell vectors:
O (0.813, 0.789, 0.582)
O (0.703, 0.310, 0.564)
Pm (0.526, 0.564, 0.744)
O (0.364, 0.937, 0.767)
Sc (0.000, 0.500, 0.500)
Sc (0.500, 0.000, 0.000)
Cd (0.500, 0.000, 0.500)
O (0.187, 0.211, 0.418)
Pm (0.474, 0.436, 0.256)
Cd (0.000, 0.500, 0.000)
O (0.687, 0.289, 0.918)
O (0.297, 0.690, 0.436)
O (0.203, 0.190, 0.064)
O (0.313, 0.711, 0.082)
O (0.797, 0.810, 0.936)
O (0.864, 0.563, 0.267)
O (0.636, 0.063, 0.233)
Pm (0.974, 0.064, 0.756)
Pm (0.026, 0.936, 0.244)
O (0.136, 0.437, 0.733)

Properties
Space-group type = No. 14
DFT total energy = -147.02 eV per cell
ΔE_f (raw) = -27.0 eV per formula unit
Crystal system = monoclinic

## Ti4Si2N (PBE)

Data for a relaxed structure of Ti4Si2N.

a b c (Å): 3.043 6.850 9.519
angles (deg): 90.00 90.00 90.00
Sites, in units of the cell vectors:
Ti (0.000, 0.138, 0.693)
Ti (0.500, 0.319, 0.928)
Ti (0.000, 0.362, 0.193)
N (0.000, 0.000, 0.500)
Si (0.500, 0.559, 0.365)
Si (0.500, 0.059, 0.135)
Ti (0.500, 0.681, 0.072)
Si (0.500, 0.441, 0.635)
Si (0.500, 0.941, 0.865)
Ti (0.000, 0.862, 0.307)
Ti (0.000, 0.638, 0.807)
Ti (0.500, 0.819, 0.572)
N (0.000, 0.500, 0.000)
Ti (0.500, 0.181, 0.428)

Properties
Relative energy among the computed polymorphs = 0.00 kcal/mol of atoms
Space-group type = No. 55
DFT total energy = -114.53 eV per cell
ΔE_f (raw) = -6.5 eV per formula unit
Crystal system = orthorhombic

## Li2ZnB2Pd5 (PBE)

Data for a relaxed structure of Li2ZnB2Pd5.

a b c (Å): 2.935 9.503 9.503
angles (deg): 90.00 90.00 90.00
Sites, in units of the cell vectors:
Li (0.000, 0.675, 0.175)
Li (0.000, 0.825, 0.675)
Zn (0.000, 0.000, 0.000)
Li (0.000, 0.325, 0.825)
Pd (0.500, 0.073, 0.784)
Pd (0.500, 0.427, 0.284)
Pd (0.500, 0.784, 0.927)
Zn (0.000, 0.500, 0.500)
B (0.000, 0.373, 0.127)
Pd (0.500, 0.000, 0.500)
Pd (0.500, 0.216, 0.073)
Pd (0.500, 0.927, 0.216)
Pd (0.500, 0.573, 0.716)
Li (0.000, 0.175, 0.325)
B (0.000, 0.873, 0.373)
Pd (0.500, 0.284, 0.573)
B (0.000, 0.127, 0.627)
Pd (0.500, 0.716, 0.427)
Pd (0.500, 0.500, 0.000)
B (0.000, 0.627, 0.873)

Properties
Space-group type = No. 127
Energy relative to the elements = -421 meV per atom
DFT total energy = -97.25 eV per cell
Crystal system = tetragonal

## Sm2InGe4Pd3 (PBE)

Data for a relaxed structure of Sm2InGe4Pd3.

a b c (Å): 4.274 4.274 10.917
angles (deg): 90.00 90.00 90.00
Sites, in units of the cell vectors:
Ge (0.500, 0.500, 0.000)
Pd (0.000, 0.500, 0.125)
Sm (0.500, 0.000, 0.237)
Pd (0.000, 0.000, 0.500)
Ge (0.500, 0.000, 0.653)
Ge (0.000, 0.000, 0.000)
Ge (0.000, 0.500, 0.347)
In (0.500, 0.500, 0.500)
Sm (0.000, 0.500, 0.763)
Pd (0.500, 0.000, 0.875)

Properties
Space-group type = No. 115
Energy relative to the elements = -697 meV per atom
DFT total energy = -53.20 eV per cell
Crystal system = tetragonal

## YBeNi3 (PBE)

Data for a relaxed structure of YBeNi3.

a b c (Å): 4.099 4.099 4.099
angles (deg): 90.00 90.00 90.00
Sites, in units of the cell vectors:
Ni (0.000, 0.500, 0.000)
Be (0.000, 0.000, 0.000)
Y (0.500, 0.500, 0.500)
Ni (0.500, 0.000, 0.000)
Ni (0.000, 0.000, 0.500)

Properties
Relative energy among the computed polymorphs = 0.00 kcal/mol of atoms
Space-group type = No. 221
Energy relative to the elements = -241 meV per atom
DFT total energy = -28.74 eV per cell
Crystal system = cubic

What is the formula in the first record? AlCuAs